Na2NbMoO6 (GGA+U, relaxed); size of the total moment = 1.00 μB per cell; uncorrected energy = -7.008 eV per atom
1.0
5.6253 0.0000 0.0000
0.0000 5.6253 0.0000
0.0000 0.0000 3.9802
Na Nb Mo O
2 1 1 6
Direct
0.0000 0.5000 0.0000 Na
0.5000 0.0000 0.0000 Na
0.0000 0.0000 0.5000 Nb
0.5000 0.5000 0.5000 Mo
0.0000 0.0000 0.0000 O
0.2518 0.2518 0.5000 O
0.2518 0.7482 0.5000 O
0.5000 0.5000 0.0000 O
0.7482 0.2518 0.5000 O
0.7482 0.7482 0.5000 O